Entry 1:
## Sr2Pm3Pt4 (PBE-GGA)

Data for Sr2Pm3Pt4 after structural relaxation.

CIF file:
```
data_Sr2Pm3Pt4
_cell_length_a 7.9742
_cell_length_b 7.9629
_cell_length_c 7.9355
_cell_angle_alpha 90.00
_cell_angle_beta 109.71
_cell_angle_gamma 90.00
_space_group_name_H-M_alt 'P 1 21/c 1'
_space_group_IT_number 14
_space_group_name_Hall '-P 2ybc'
loop_
_atom_site_label
_atom_site_type_symbol
_atom_site_fract_x
_atom_site_fract_y
_atom_site_fract_z
_atom_site_occupancy
Sr1 Sr 0.1943 0.1756 0.0749 1
Pm1 Pm 0.2439 0.6658 0.2504 1
Pm2 Pm 0.5000 0.0000 0.5000 1
Pt1 Pt 0.0956 0.5411 0.8735 1
Pt2 Pt 0.4934 0.6299 0.6265 1
```

=====

Entry 2:
# SrPmPt2, relaxed, DFT PBE-GGA
# Offset from the most stable computed form = 148 meV per atom
data_SrPmPt2
_cell_length_a 4.1493
_cell_length_b 4.1493
_cell_length_c 22.1608
_cell_angle_alpha 90.00
_cell_angle_beta 90.00
_cell_angle_gamma 120.00
_space_group_name_H-M_alt 'R 3 m'
_space_group_IT_number 160
_space_group_name_Hall 'R 3 -2"'
loop_
_atom_site_label
_atom_site_type_symbol
_atom_site_fract_x
_atom_site_fract_y
_atom_site_fract_z
_atom_site_occupancy
Sr1 Sr 0.0000 0.0000 0.0000 1
Pm1 Pm 0.0000 0.0000 0.8287 1
Pt1 Pt 0.0000 0.0000 0.2395 1
Pt2 Pt 0.0000 0.0000 0.4200 1

=====

Entry 3:
# SrPm2Pt, relaxed, DFT PBE-GGA
# Offset from the most stable computed form = 25 meV per atom
data_SrPm2Pt
_cell_length_a 4.2312
_cell_length_b 4.2312
_cell_length_c 29.5799
_cell_angle_alpha 90.00
_cell_angle_beta 90.00
_cell_angle_gamma 120.00
_space_group_name_H-M_alt 'R -3 m'
_space_group_IT_number 166
_space_group_name_Hall '-R 3 2"'
loop_
_atom_site_label
_atom_site_type_symbol
_atom_site_fract_x
_atom_site_fract_y
_atom_site_fract_z
_atom_site_occupancy
Sr1 Sr 0.0000 0.0000 0.0000 1
Pm1 Pm 0.0000 0.0000 0.2178 1
Pt1 Pt 0.0000 0.0000 0.5000 1

=====

Entry 4:
# SrPm2Pt, relaxed, DFT PBE-GGA
# Offset from the most stable computed form = 7 meV per atom
data_SrPm2Pt
_cell_length_a 4.2716
_cell_length_b 4.2716
_cell_length_c 28.6486
_cell_angle_alpha 90.00
_cell_angle_beta 90.00
_cell_angle_gamma 120.00
_space_group_name_H-M_alt 'R 3 m'
_space_group_IT_number 160
_space_group_name_Hall 'R 3 -2"'
loop_
_atom_site_label
_atom_site_type_symbol
_atom_site_fract_x
_atom_site_fract_y
_atom_site_fract_z
_atom_site_occupancy
Sr1 Sr 0.0000 0.0000 0.0000 1
Pm1 Pm 0.0000 0.0000 0.5499 1
Pm2 Pm 0.0000 0.0000 0.7801 1
Pt1 Pt 0.0000 0.0000 0.1650 1

=====

Number 1: ΔE_f -1.001 eV per atom, DOS at the Fermi energy 0.47 states/eV per atom, total DFT energy (no corrections) -5.643 eV per atom. Number 2: ΔE_f -0.829 eV per atom, DOS at the Fermi energy 0.51 states/eV per atom, total DFT energy (no corrections) -5.457 eV per atom. Number 3: ΔE_f -0.510 eV per atom, DOS at the Fermi energy 1.19 states/eV per atom, total DFT energy (no corrections) -4.816 eV per atom. Number 4: ΔE_f -0.529 eV per atom, DOS at the Fermi energy 0.92 states/eV per atom, total DFT energy (no corrections) -4.835 eV per atom.